[1]
VASP calculation (PBE-GGA) on a relaxed structure of InMoP2Cl.

Cell: 5.5516 5.5516 5.3204 Å, 90.00 90.00 90.00°
With the nearest neighbours (Å) after each atom.
Space group P4/mmm (No. 123)
Unique sites:
In1 0.0000 0.0000 0.0000 (multiplicity 1)  2 Cl 2.66, 4 P 2.78
Mo1 0.5000 0.5000 0.5000 (multiplicity 1)  8 P 3.84, 4 Cl 3.93
P1 0.0000 0.5000 0.0000 (multiplicity 2)  2 In 2.78
Cl1 0.0000 0.0000 0.5000 (multiplicity 1)  2 In 2.66

=====

[2]
VASP calculation (PBE-GGA) on a relaxed structure of InMoP2Cl.

Cell: 4.8337 4.8337 5.3831 Å, 90.00 90.00 90.00°
With the nearest neighbours (Å) after each atom.
Space group P4/mmm (No. 123)
Unique sites:
In1 0.0000 0.0000 0.0000 (multiplicity 1)  4 Cl 3.42, 8 P 3.62
Mo1 0.5000 0.5000 0.5000 (multiplicity 1)  4 P 2.42, 2 Cl 2.69
P1 0.0000 0.5000 0.5000 (multiplicity 2)  2 Mo 2.42
Cl1 0.5000 0.5000 0.0000 (multiplicity 1)  2 Mo 2.69

=====

[3]
VASP calculation (PBE-GGA) on a relaxed structure of Rb2InMoCl6.

Cell: 10.9073 10.9073 10.9073 Å, 90.00 90.00 90.00°
With the nearest neighbours (Å) after each atom.
Space group Fm-3m (No. 225)
Unique sites:
Rb1 0.2500 0.2500 0.2500 (multiplicity 8)  12 Cl 3.87
In1 0.0000 0.0000 0.0000 (multiplicity 4)  6 Cl 2.99
Mo1 0.0000 0.0000 0.5000 (multiplicity 4)  6 Cl 2.47
Cl1 0.0000 0.0000 0.2740 (multiplicity 24)  1 Mo 2.47

=====

[4]
VASP calculation (PBE-GGA) on a relaxed structure of InMo2RuCl.

Cell: 4.9730 4.9730 5.2305 Å, 90.00 90.00 90.00°
With the nearest neighbours (Å) after each atom.
Space group P4/mmm (No. 123)
Unique sites:
In1 0.0000 0.0000 0.0000 (multiplicity 1)  2 Ru 2.62
Mo1 0.0000 0.5000 0.5000 (multiplicity 2)  2 Ru 2.49
Ru1 0.0000 0.0000 0.5000 (multiplicity 1)  4 Mo 2.49, 2 In 2.62
Cl1 0.5000 0.5000 0.0000 (multiplicity 1)  4 In 3.52, 8 Mo 3.61

=====

Number 1: DFT total energy -3.86 eV per atom, E_form (uncorrected) 7.0 eV per formula unit. Number 2: DFT total energy -5.13 eV per atom, E_form (uncorrected) 0.6 eV per formula unit. Number 3: DFT total energy -3.96 eV per atom, E_form (uncorrected) -13.0 eV per formula unit. Number 4: DFT total energy -5.93 eV per atom, E_form (uncorrected) 5.9 eV per formula unit.